Entry 1:
PBE Ba6LiTl2, optimized geometry; electronic total energy = -2.1884 eV/atom; offset from the most stable computed form = 0.000 eV per atom; ΔE_f = -168 meV per atom; calculated density = 4.7 g cm⁻³
1.0
-5.7691 -5.7812 3.4225
-3.0210 -2.9248 -10.0328
2.9156 -9.8548 1.9950
Tl Li Ba
4 2 12
Direct
0.1363 0.5386 0.2146 Tl
0.6363 0.9614 0.7146 Tl
0.8637 0.4614 0.7854 Tl
0.3637 0.0386 0.2854 Tl
0.5000 0.5000 0.0000 Li
0.0000 0.0000 0.5000 Li
0.7364 0.9724 0.3074 Ba
0.2361 0.3366 0.4472 Ba
0.2636 0.0276 0.6926 Ba
0.7361 0.1634 0.9472 Ba
0.2070 0.2226 0.0743 Ba
0.7070 0.2774 0.5743 Ba
0.7930 0.7774 0.9257 Ba
0.7639 0.6634 0.5528 Ba
0.2639 0.8366 0.0528 Ba
0.7636 0.4724 0.1926 Ba
0.2364 0.5276 0.8074 Ba
0.2930 0.7226 0.4257 Ba

=====

Entry 2:
PBE BaLiTl3, optimized geometry; electronic total energy = -2.4348 eV/atom; offset from the most stable computed form = 0.039 eV per atom; ΔE_f = -248 meV per atom; calculated density = 8.2 g cm⁻³
1.0
6.4342 0.0000 -3.5573
-2.1396 6.4838 -3.8701
-0.0132 -0.2336 7.5738
Tl Ba Li
6 2 2
Direct
0.7500 0.1872 0.5000 Tl
0.2155 0.2155 0.9310 Tl
0.2845 0.7845 0.0690 Tl
0.7845 0.7845 0.0690 Tl
0.2500 0.8128 0.5000 Tl
0.7155 0.2155 0.9310 Tl
0.7500 0.6758 0.5000 Ba
0.2500 0.3242 0.5000 Ba
0.0000 0.5000 0.0000 Li
0.5000 0.0000 0.0000 Li

=====

Entry 3:
PBE BaLi2Tl4, optimized geometry; electronic total energy = -2.4413 eV/atom; ΔE_f = -268 meV per atom; calculated density = 8.2 g cm⁻³
1.0
4.9103 0.0000 0.0000
0.0000 7.9247 0.0000
0.0000 0.0000 20.0578
Tl Li Ba
16 8 4
Direct
0.7500 0.7342 0.9665 Tl
0.2500 0.9864 0.9049 Tl
0.2500 0.8193 0.1879 Tl
0.2500 0.2342 0.5335 Tl
0.2500 0.2109 0.1945 Tl
0.7500 0.7658 0.4665 Tl
0.2500 0.5136 0.4049 Tl
0.7500 0.7891 0.8055 Tl
0.7500 0.1807 0.8121 Tl
0.2500 0.2891 0.6945 Tl
0.2500 0.2658 0.0335 Tl
0.7500 0.0136 0.0951 Tl
0.7500 0.3193 0.3121 Tl
0.7500 0.7109 0.3055 Tl
0.2500 0.6807 0.6879 Tl
0.7500 0.4864 0.5951 Tl
0.7500 0.1494 0.9599 Li
0.7500 0.4831 0.7354 Li
0.2500 0.9831 0.7646 Li
0.7500 0.0169 0.2354 Li
0.7500 0.3506 0.4599 Li
0.2500 0.5169 0.2646 Li
0.2500 0.8506 0.0401 Li
0.2500 0.6494 0.5401 Li
0.7500 0.5145 0.1259 Ba
0.2500 0.0145 0.3741 Ba
0.2500 0.4855 0.8741 Ba
0.7500 0.9855 0.6259 Ba

=====

Entry 4:
PBE BaLiTl3, optimized geometry; electronic total energy = -2.4740 eV/atom; offset from the most stable computed form = 0.000 eV per atom; ΔE_f = -287 meV per atom; calculated density = 8.4 g cm⁻³
1.0
4.9065 0.0000 0.0000
0.0000 9.7423 0.0000
0.0000 0.0000 12.5783
Ba Tl Li
4 12 4
Direct
0.7500 0.3102 0.5008 Ba
0.7500 0.8102 0.9992 Ba
0.2500 0.6898 0.4992 Ba
0.2500 0.1898 0.0008 Ba
0.2500 0.8675 0.7878 Tl
0.7500 0.4289 0.9041 Tl
0.2500 0.0711 0.4041 Tl
0.2500 0.3786 0.2936 Tl
0.7500 0.1325 0.2122 Tl
0.2500 0.3675 0.7122 Tl
0.7500 0.6325 0.2878 Tl
0.7500 0.9289 0.5959 Tl
0.7500 0.1214 0.7936 Tl
0.2500 0.8786 0.2064 Tl
0.7500 0.6214 0.7064 Tl
0.2500 0.5711 0.0959 Tl
0.2500 0.0885 0.6397 Li
0.2500 0.5885 0.8603 Li
0.7500 0.9115 0.3603 Li
0.7500 0.4115 0.1397 Li